The following is a DFT calculation (PBE) of an optimized crystal structure of LuPuRu2.

## Properties
Total energy: -9.708 eV per atom
ΔH_f (0 K): -0.36 eV per atom
Excess energy over the best structure of this formula in the dataset: 0 meV/atom
D(E_F): 3.97 states/eV/f.u.

a = 4.737 Å, b = 4.737 Å, c = 4.737 Å
α = 60.00°, β = 60.00°, γ = 60.00°
Fractional coordinates of all 4 atoms:
Ru1 0.250 0.250 0.250
Ru2 0.750 0.750 0.750
Lu1 0.500 0.500 0.500
Pu1 0.000 0.000 0.000


The following is a DFT calculation (PBE) of an optimized crystal structure of LuPuTlRu.

## Properties
Total energy: -7.663 eV per atom
ΔH_f (0 K): -0.04 eV per atom
D(E_F): 8.24 states/eV/f.u.

a = 5.046 Å, b = 5.046 Å, c = 5.046 Å
α = 60.00°, β = 60.00°, γ = 60.00°
Fractional coordinates of all 4 atoms:
Ru1 0.750 0.750 0.750
Tl1 0.250 0.250 0.250
Lu1 0.000 0.000 0.000
Pu1 0.500 0.500 0.500